DFT (PBE) results for Sr2BeBr after structural relaxation.

Cell lengths 5.596, 5.596, 5.596 Å; angles 60.00, 60.00, 60.00 degrees
Fractional positions:
Sr: 0.250 0.250 0.250
Sr: 0.750 0.750 0.750
Be: 0.000 0.000 0.000
Br: 0.500 0.500 0.500

Calculated values
- Fermi-level density of states (states/eV per atom) = 1.03
- ΔE_f (raw) (kJ per mole of atoms) = -20.0
- V (Å³/cell) = 123.9



DFT (PBE) results for CeTc2Mo after structural relaxation.

Cell lengths 3.144, 3.144, 7.197 Å; angles 90.00, 90.00, 90.00 degrees
Fractional positions:
Ce: 0.000 0.000 0.000
Tc: 0.500 0.500 0.290
Tc: 0.500 0.500 0.710
Mo: 0.000 0.000 0.500

Calculated values
- energy relative to the elements (eV per atom) = 0.08
- Fermi-level density of states (states/eV per atom) = 1.43
- V (Å³/cell) = 71.1



DFT (PBE) results for Tb2NdNi after structural relaxation.

Cell lengths 10.703, 10.703, 10.703 Å; angles 19.40, 19.40, 19.40 degrees
Fractional positions:
Tb: 0.112 0.112 0.112
Tb: 0.888 0.888 0.888
Nd: 0.000 0.000 0.000
Ni: 0.500 0.500 0.500

Calculated values
- energy relative to the elements (eV per atom) = 0.06
- Fermi-level density of states (states/eV per atom) = 1.70
- V (Å³/cell) = 118.3



DFT (PBE) results for InSn3F after structural relaxation.

Cell lengths 5.681, 5.681, 5.681 Å; angles 90.00, 90.00, 90.00 degrees
Fractional positions:
In: 0.000 0.000 0.000
Sn: 0.000 0.000 0.500
Sn: 0.000 0.500 0.000
Sn: 0.500 0.000 0.000
F: 0.500 0.500 0.500

Calculated values
- Fermi-level density of states (states/eV per atom) = 0.82
- ΔE_f (raw) (kJ per mole of atoms) = 31.0
- V (Å³/cell) = 183.3



Computed calculated density (g cm⁻³) in order:
3.54, 10.09, 7.31, 4.44